1.
Compound: FeAsIrAu
Source: OQMD
Functional: PBE
Structure: relaxed

Values from the calculation:
E = -5.99 eV per atom
mass density = 14033 kg/m³
ΔE to the lowest computed polymorph = 0.000 eV/atom

Geometry as CIF:
```
data_FeAsIrAu
_cell_length_a 6.2667
_cell_length_b 6.2667
_cell_length_c 6.2667
_cell_angle_alpha 90.00
_cell_angle_beta 90.00
_cell_angle_gamma 90.00
_space_group_name_H-M_alt 'F -4 3 m'
_space_group_IT_number 216
_space_group_name_Hall 'F -4 2 3'
loop_
_atom_site_label
_atom_site_type_symbol
_atom_site_fract_x
_atom_site_fract_y
_atom_site_fract_z
Fe1 Fe 0.0000 0.0000 0.0000
As1 As 0.2500 0.2500 0.7500
Ir1 Ir 0.0000 0.0000 0.5000
Au1 Au 0.2500 0.2500 0.2500
```

***

2.
Compound: LiFeAsAu
Source: OQMD
Functional: PBE
Structure: relaxed

Values from the calculation:
E = -4.63 eV per atom
mass density = 9411 kg/m³
ΔE to the lowest computed polymorph = 0.000 eV/atom

Geometry as CIF:
```
data_LiFeAsAu
_cell_length_a 6.1815
_cell_length_b 6.1815
_cell_length_c 6.1815
_cell_angle_alpha 90.00
_cell_angle_beta 90.00
_cell_angle_gamma 90.00
_space_group_name_H-M_alt 'F -4 3 m'
_space_group_IT_number 216
_space_group_name_Hall 'F -4 2 3'
loop_
_atom_site_label
_atom_site_type_symbol
_atom_site_fract_x
_atom_site_fract_y
_atom_site_fract_z
Li1 Li 0.0000 0.0000 0.0000
Fe1 Fe 0.0000 0.0000 0.5000
As1 As 0.2500 0.2500 0.2500
Au1 Au 0.2500 0.2500 0.7500
```

***

3.
Compound: LiFeAsAu
Source: OQMD
Functional: PBE
Structure: relaxed

Values from the calculation:
E = -4.53 eV per atom
mass density = 9415 kg/m³
ΔE to the lowest computed polymorph = 0.101 eV/atom

Geometry as CIF:
```
data_LiFeAsAu
_cell_length_a 6.1808
_cell_length_b 6.1808
_cell_length_c 6.1808
_cell_angle_alpha 90.00
_cell_angle_beta 90.00
_cell_angle_gamma 90.00
_space_group_name_H-M_alt 'F -4 3 m'
_space_group_IT_number 216
_space_group_name_Hall 'F -4 2 3'
loop_
_atom_site_label
_atom_site_type_symbol
_atom_site_fract_x
_atom_site_fract_y
_atom_site_fract_z
Li1 Li 0.0000 0.0000 0.0000
Fe1 Fe 0.2500 0.2500 0.7500
As1 As 0.0000 0.0000 0.5000
Au1 Au 0.2500 0.2500 0.2500
```